Computed, not measured: a relaxed K2ScNi3F12 crystal at the GGA+U level of DFT.

## Properties
- Raw total energy: -4.779 eV/atom
- Magnetization: 0.2778 μB per atom

Geometry as CIF:
```
data_K2ScNi3F12
_space_group_name_H-M_alt 'R -3 m'
_space_group_IT_number 166
_space_group_name_Hall '-R 3 2"'
_cell_length_a 7.2089
_cell_length_b 7.2089
_cell_length_c 18.4621
_cell_angle_alpha 90.00
_cell_angle_beta 90.00
_cell_angle_gamma 120.00
loop_
_atom_site_label
_atom_site_fract_x
_atom_site_fract_y
_atom_site_fract_z
_atom_site_occupancy
K1 0.0000 0.0000 0.1135 1
Sc1 0.0000 0.0000 0.5000 1
Ni1 0.0000 0.5000 0.0000 1
F1 0.0598 0.5299 0.1076 1
F2 0.0678 0.5339 0.3528 1
```